DFT (PBE) results for a relaxed NbPd2Au crystal.

The structure belongs to space group I-42d (No. 122); the cell edges are 7.2416, 7.2416 and 5.5696 Å and the angles 90.00°, 90.00° and 90.00°. Symmetry generates all atoms from Nb at (0.0000, 0.0000, 0.0000), Pd at (0.2321, 0.2500, 0.1250) and Au at (0.0000, 0.0000, 0.5000).

As for the crystal system: tetragonal. The calculation puts the formation enthalpy at 0 K at 0.179 eV/atom. For the polymorph energy (0 for the lowest one), the calculation gives 504 meV/atom.